TaTe4Au after structural relaxation, computed with PBE.

Calculated values
- Energy above the most stable polymorph in this dataset: 114.63 kJ/mol of atoms
- Raw formation energy: 25.9 kcal/mol of atoms
- Calculated density: 8998 kg/m3

Unit cell a=8.6878 b=8.6878 c=8.6878 alpha=90.00 beta=90.00 gamma=90.00
Space group F-43m (No. 216)
One atom of each set of equivalent atoms:
Ta  0.0000  0.0000  0.0000 (multiplicity 4)
Te  0.1248  0.1248  0.6248 (multiplicity 16)
Au  0.2500  0.2500  0.2500 (multiplicity 4)